Compound: NaTiCl3
Source: Alexandria
Functional: PBE-GGA
Structure: optimized geometry

Lattice parameters (Å, degrees): 4.967 4.967 4.967 90.00 90.00 90.00
Each line ends with the local moment (μB).
Fractional coordinates of all 5 atoms:
1 Cl 0.000 0.000 0.500  -0.02
2 Cl 0.000 0.500 0.000  -0.02
3 Cl 0.500 0.000 0.000  -0.02
4 Ti 0.500 0.500 0.500  1.82
5 Na 0.000 0.000 0.000  0.00

Its density of states at the Fermi level is 0.0 states/eV/cell. The calculation puts the energy above the most stable polymorph in this dataset at 939 meV/atom. The calculation puts the total DFT energy (no corrections) at -17.81 eV for the cell shown. As for the uncorrected formation energy: -611 meV per atom. The total magnetization is 2.00 Bohr magnetons per cell.